[1]
DFT (GGA-PBE) results for ScW2Se after structural relaxation.

Properties
**Energy relative to the elements, uncorrected**: -0.01 eV/atom

Cell lengths 3.3421, 3.3421, 6.3196 Å; angles 90.00, 90.00, 90.00 degrees
Closest atoms and distances in Å follow each position.
Element x y z (fractional)
1 Sc 0.0000 0.0000 0.0000  4 Se 2.73, 5 W 2.91-3.02
2 W 0.0000 0.0000 0.5220  4 W 2.71, 1 Sc 3.02
3 W 0.5000 0.5000 0.7308  4 W 2.71, 4 Sc 2.91
4 Se 0.5000 0.5000 0.2173  4 Sc 2.73, 4 W 3.05

[2]
DFT (GGA-PBE) results for CsMnS2N after structural relaxation.

Properties
**Energy relative to the elements, uncorrected**: 1.94 eV/atom

Cell lengths 5.6371, 5.6371, 4.4154 Å; angles 90.00, 90.00, 90.00 degrees
Closest atoms and distances in Å follow each position.
Element x y z (fractional)
1 Cs 0.0000 0.0000 0.0000  2 N 2.21
2 Mn 0.5000 0.5000 0.5000  8 S 3.58, 4 N 3.99
3 S 0.0000 0.5000 0.0000  2 Cs 2.82
4 S 0.5000 0.0000 0.0000  2 Cs 2.82
5 N 0.0000 0.0000 0.5000  2 Cs 2.21

[3]
DFT (GGA-PBE) results for SrTmIn6 after structural relaxation.

Properties
**Energy of formation**: -0.336 eV per atom

Cell lengths 4.7296, 4.7296, 9.4915 Å; angles 90.00, 90.00, 90.00 degrees
Closest atoms and distances in Å follow each position.
Element x y z (fractional)
1 Sr 0.0000 0.0000 0.0000  12 In 3.34-3.42
2 Tm 0.0000 0.0000 0.5000  12 In 3.28-3.34
3 In 0.0000 0.5000 0.2604  8 In 3.28-3.42, 2 Tm 3.28, 2 Sr 3.42
4 In 0.0000 0.5000 0.7396  8 In 3.28-3.42, 2 Tm 3.28, 2 Sr 3.42
5 In 0.5000 0.0000 0.2604  8 In 3.28-3.42, 2 Tm 3.28, 2 Sr 3.42
6 In 0.5000 0.0000 0.7396  8 In 3.28-3.42, 2 Tm 3.28, 2 Sr 3.42
7 In 0.5000 0.5000 0.0000  4 Sr 3.34, 8 In 3.42
8 In 0.5000 0.5000 0.5000  8 In 3.28, 4 Tm 3.34

[4]
DFT (GGA-PBE) results for PrSm2Mg after structural relaxation.

Properties
**Energy of formation**: 0.068 eV per atom
**Excess energy over the best structure of this formula in the dataset**: 10.2 kJ per mole of atoms

Cell lengths 7.9836, 7.9836, 7.9836 Å; angles 90.00, 90.00, 90.00 degrees
Closest atoms and distances in Å follow each position.
Element x y z (fractional)
1 Pr 0.0000 0.0000 0.0000  8 Sm 3.46
2 Pr 0.0000 0.5000 0.5000  8 Sm 3.46
3 Pr 0.5000 0.0000 0.5000  8 Sm 3.46
4 Pr 0.5000 0.5000 0.0000  8 Sm 3.46
5 Sm 0.2500 0.2500 0.2500  4 Pr 3.46, 4 Mg 3.46
6 Sm 0.2500 0.2500 0.7500  4 Mg 3.46, 4 Pr 3.46
7 Sm 0.2500 0.7500 0.2500  4 Mg 3.46, 4 Pr 3.46
8 Sm 0.2500 0.7500 0.7500  4 Pr 3.46, 4 Mg 3.46
9 Sm 0.7500 0.2500 0.2500  4 Mg 3.46, 4 Pr 3.46
10 Sm 0.7500 0.2500 0.7500  4 Pr 3.46, 4 Mg 3.46
11 Sm 0.7500 0.7500 0.2500  4 Pr 3.46, 4 Mg 3.46
12 Sm 0.7500 0.7500 0.7500  4 Mg 3.46, 4 Pr 3.46
13 Mg 0.0000 0.0000 0.5000  8 Sm 3.46
14 Mg 0.0000 0.5000 0.0000  8 Sm 3.46
15 Mg 0.5000 0.0000 0.0000  8 Sm 3.46
16 Mg 0.5000 0.5000 0.5000  8 Sm 3.46

[5]
DFT (GGA-PBE) results for PbSeSBr2 after structural relaxation.

Properties
**Energy relative to the elements, uncorrected**: 0.07 eV/atom
**Excess energy over the best structure of this formula in the dataset**: 0.0 kJ per mole of atoms

Cell lengths 5.3273, 5.3273, 5.1239 Å; angles 90.00, 90.00, 90.00 degrees
Closest atoms and distances in Å follow each position.
Element x y z (fractional)
1 Pb 0.0000 0.0000 0.0000  8 Br 3.70, 4 Se 3.77
2 Se 0.5000 0.5000 0.0000  2 S 2.56
3 S 0.5000 0.5000 0.5000  2 Se 2.56, 4 Br 2.66
4 Br 0.0000 0.5000 0.5000  2 S 2.66
5 Br 0.5000 0.0000 0.5000  2 S 2.66

[6]
DFT (GGA-PBE) results for K2CuSb after structural relaxation.

Properties
**Energy relative to the elements, uncorrected**: 0.12 eV/atom

Cell lengths 3.5539, 3.5539, 9.7837 Å; angles 90.00, 90.00, 90.00 degrees
Closest atoms and distances in Å follow each position.
Element x y z (fractional)
1 K 0.0000 0.0000 0.2337  4 Cu 3.40, 4 K 3.55, 4 Sb 3.62
2 K 0.0000 0.0000 0.7663  4 Cu 3.40, 4 K 3.55, 4 Sb 3.62
3 Cu 0.5000 0.5000 0.0000  8 K 3.40, 4 Cu 3.55
4 Sb 0.5000 0.5000 0.5000  4 Sb 3.55, 8 K 3.62

N(E_F) for every record listed, in sequence, given in states/eV per atom: 0.981, 0.686, 0.262, 1.410, 0.746, 0.270.